1.
Entry from Alexandria via LeMat-Bulk: Na4Pu3ReN8 after structural relaxation (PBE-GGA).

formation energy from raw total energies: -0.611 eV per atom

Lattice parameters (Å, degrees): 6.6909 6.8703 6.6912 119.16 120.00 90.00
Positions (direct):
Na 0.0000 0.0000 0.5000
Na 0.5000 0.0000 0.5000
N 0.7300 0.6899 0.4601
Pu 0.0000 0.5000 0.5000
N 0.7817 0.3116 0.0298
Na 0.0000 0.0000 0.0000
N 0.7519 0.6884 0.9702
Pu 0.5000 0.5000 0.0000
N 0.7817 0.3116 0.5634
N 0.2183 0.6884 0.9702
Pu 0.5000 0.5000 0.5000
Re 0.0000 0.5000 0.0000
Na 0.5000 0.0000 0.0000
N 0.2481 0.3116 0.0298
N 0.2700 0.3101 0.5399
N 0.2183 0.6884 0.4366

2.
Entry from Alexandria via LeMat-Bulk: Na4Pu3RuN8 after structural relaxation (PBE-GGA).

formation energy from raw total energies: -0.524 eV per atom

Lattice parameters (Å, degrees): 6.6622 6.8426 6.6623 119.14 120.00 90.00
Positions (direct):
N 0.2312 0.6886 0.4624
Pu 0.5000 0.5000 0.5000
N 0.7688 0.3113 0.0425
N 0.2709 0.3128 0.5418
N 0.2737 0.3113 0.0425
N 0.2312 0.6887 0.9575
N 0.7291 0.6872 0.4582
Pu 0.5000 0.5000 0.0000
N 0.7688 0.3114 0.5376
Na 0.5000 0.0000 0.0000
N 0.7263 0.6887 0.9575
Pu 0.0000 0.5000 0.5000
Na 0.0000 0.0000 0.5000
Ru 0.0000 0.5000 0.0000
Na 0.5000 0.0000 0.5000
Na 0.0000 0.0000 0.0000

3.
Entry from Alexandria via LeMat-Bulk: Na4Pu3SiN8 after structural relaxation (PBE-GGA).

formation energy from raw total energies: -0.568 eV per atom

Lattice parameters (Å, degrees): 6.4875 6.7334 6.8361 118.15 118.33 90.00
Positions (direct):
Pu 0.5000 0.5000 0.5000
Si 0.0000 0.5000 0.0000
Pu 0.5000 0.5000 0.0000
N 0.8115 0.3368 0.0506
Na 0.5000 0.0000 0.0000
Na 0.5000 0.0000 0.5000
N 0.2391 0.3368 0.0506
Na 0.0000 0.0000 0.5000
N 0.7234 0.6873 0.4467
N 0.7314 0.2815 0.4628
Na 0.0000 0.0000 0.0000
N 0.1885 0.6632 0.9494
N 0.7609 0.6632 0.9494
Pu 0.0000 0.5000 0.5000
N 0.2686 0.7185 0.5372
N 0.2766 0.3127 0.5533

4.
Entry from Alexandria via LeMat-Bulk: Na4Pu3SnN8 after structural relaxation (PBE-GGA).

formation energy from raw total energies: -0.529 eV per atom

Lattice parameters (Å, degrees): 6.8094 6.9240 6.8108 119.47 119.99 90.00
Positions (direct):
N 0.2730 0.3193 0.5460
Pu 0.5000 0.5000 0.0000
Sn 0.0000 0.5000 0.0000
Pu 0.5000 0.5000 0.5000
N 0.7639 0.3069 0.5279
Na 0.0000 0.0000 0.5000
N 0.7640 0.3069 0.0428
N 0.7270 0.6807 0.4540
Na 0.5000 0.0000 0.0000
N 0.2361 0.6931 0.4721
N 0.2788 0.3069 0.0428
N 0.7212 0.6931 0.9572
Pu 0.0000 0.5000 0.5000
Na 0.0000 0.0000 0.0000
N 0.2360 0.6931 0.9572
Na 0.5000 0.0000 0.5000

5.
Entry from Alexandria via LeMat-Bulk: NaSrPu4N8 after structural relaxation (PBE-GGA).

formation energy from raw total energies: -0.774 eV per atom

Lattice parameters (Å, degrees): 6.8839 6.8839 6.7517 59.35 59.35 60.00
Positions (direct):
N 0.2114 0.7435 0.3016
N 0.2479 0.8224 0.6818
Pu 0.0014 0.4970 0.5003
N 0.7435 0.7435 0.3016
N 0.2479 0.2479 0.6818
Pu 0.4970 0.0014 0.5003
Sr 0.3816 0.3816 0.8553
N 0.2294 0.2294 0.3119
N 0.7606 0.7606 0.7183
Na 0.9992 0.9992 0.0024
N 0.8224 0.2479 0.6818
Pu 0.6129 0.6129 0.1612
N 0.7435 0.2114 0.3016
Pu 0.0014 0.0014 0.5003

6.
Entry from Alexandria via LeMat-Bulk: Na2PuTaN4 after structural relaxation (PBE-GGA).

formation energy from raw total energies: -0.835 eV per atom

Lattice parameters (Å, degrees): 3.2951 5.6852 5.9865 108.03 90.00 90.00
Positions (direct):
Na 0.0000 0.5000 0.5000
Pu 0.5000 0.5000 0.0000
N 0.5000 0.7785 0.8109
N 0.5000 0.2215 0.1891
N 0.0000 0.7441 0.1899
N 0.0000 0.2559 0.8101
Na 0.5000 0.0000 0.5000
Ta 0.0000 0.0000 0.0000

What did the fourth record say?
Entry from Alexandria via LeMat-Bulk: Na4Pu3SnN8 after structural relaxation (PBE-GGA).

formation energy from raw total energies: -0.529 eV per atom

Lattice parameters (Å, degrees): 6.8094 6.9240 6.8108 119.47 119.99 90.00
Positions (direct):
N 0.2730 0.3193 0.5460
Pu 0.5000 0.5000 0.0000
Sn 0.0000 0.5000 0.0000
Pu 0.5000 0.5000 0.5000
N 0.7639 0.3069 0.5279
Na 0.0000 0.0000 0.5000
N 0.7640 0.3069 0.0428
N 0.7270 0.6807 0.4540
Na 0.5000 0.0000 0.0000
N 0.2361 0.6931 0.4721
N 0.2788 0.3069 0.0428
N 0.7212 0.6931 0.9572
Pu 0.0000 0.5000 0.5000
Na 0.0000 0.0000 0.0000
N 0.2360 0.6931 0.9572
Na 0.5000 0.0000 0.5000

- What is the formula in the sixth record?
  Na2PuTaN4

- What is the formula in the fourth record?
  Na4Pu3SnN8